(1)
Material: La9PmNd2
Method: DFT, PBE-GGA
State: relaxed

Unit cell a=5.240 b=5.240 c=15.724 alpha=90.00 beta=90.00 gamma=90.00
Atoms (fractional coordinates):
La  0.500  0.500  0.667
La  0.500  0.000  0.500
La  0.500  0.500  0.333
La  0.500  0.000  0.166
La  0.000  0.500  0.166
La  0.000  0.500  0.500
La  0.000  0.500  0.834
La  0.500  0.000  0.834
La  0.500  0.500  0.000
Pm  0.000  0.000  0.000
Nd  0.000  0.000  0.333
Nd  0.000  0.000  0.667

Values from the calculation:
The energy relative to the elements is 0.003 eV per atom. For the density of states at the Fermi level, the calculation gives 18.96 states/eV/cell.


(2)
Material: La3Pm3Nd2
Method: DFT, PBE-GGA
State: relaxed

Unit cell a=5.210 b=5.225 c=11.090 alpha=103.63 beta=103.58 gamma=90.00
Atoms (fractional coordinates):
Pm  0.126  0.126  0.253
Pm  0.000  0.500  0.000
Pm  0.874  0.874  0.747
La  0.376  0.376  0.751
La  0.500  0.000  0.000
La  0.624  0.624  0.249
Nd  0.749  0.249  0.499
Nd  0.251  0.751  0.501

Values from the calculation:
The energy relative to the elements is 0.015 eV per atom. For the density of states at the Fermi level, the calculation gives 14.03 states/eV/cell.